[1]
Crystalline RbTiS2 at its relaxed geometry. Source: Alexandria, functional PBE.

Cell: 4.121 4.121 5.574 Å, 90.00 90.00 90.00°
Space group P4/mmm (No. 123)
Symmetry-distinct sites (fractional):
Rb1 0.000 0.000 0.000 x1
Ti1 0.500 0.500 0.500 x1
S1 0.000 0.000 0.500 x1
S2 0.500 0.500 0.000 x1

## Properties
Uncorrected formation energy in eV per atom: -0.407
Electronic total energy in eV per cell: -18.74

[2]
Crystalline ErTmFeNi at its relaxed geometry. Source: Alexandria, functional PBE.

Cell: 6.607 6.607 6.607 Å, 90.00 90.00 90.00°
Space group F-43m (No. 216)
Symmetry-distinct sites (fractional):
Er1 0.000 0.000 0.000 x4
Tm1 0.000 0.000 0.500 x4
Fe1 0.250 0.250 0.750 x4
Ni1 0.250 0.250 0.250 x4

## Properties
Electronic total energy in eV per cell: -95.41

[3]
Crystalline SmMgZrTc at its relaxed geometry. Source: Alexandria, functional PBE.

Cell: 7.007 7.007 7.007 Å, 90.00 90.00 90.00°
Space group F-43m (No. 216)
Symmetry-distinct sites (fractional):
Sm1 0.000 0.000 0.000 x4
Mg1 0.250 0.250 0.750 x4
Zr1 0.000 0.000 0.500 x4
Tc1 0.250 0.250 0.250 x4

## Properties
Electronic total energy in eV per cell: -100.51

[4]
Crystalline Dy12MgIn6 at its relaxed geometry. Source: Alexandria, functional PBE.

Cell: 14.2810 14.2810 9.7926 Å, 90.00 90.00 120.00°
Space group R-3 (No. 148, hexagonal axes)
Symmetry-distinct sites (fractional):
Dy1 0.0538 0.8068 0.4158 x18
Dy2 0.0548 0.8520 0.7726 x18
Mg1 0.0000 0.0000 0.5000 x3
In1 0.0627 0.8189 0.0872 x18

## Properties
Electronic total energy in eV per cell: -225.27

[5]
Crystalline Rb3TiS at its relaxed geometry. Source: Alexandria, functional PBE.

Cell: 6.452 6.452 6.452 Å, 90.00 90.00 90.00°
Space group Pm-3m (No. 221)
Symmetry-distinct sites (fractional):
Rb1 0.000 0.000 0.500 x3
Ti1 0.500 0.500 0.500 x1
S1 0.000 0.000 0.000 x1

## Properties
Uncorrected formation energy in eV per atom: 0.284
Electronic total energy in eV per cell: -13.51
Energy above the lowest structure with this stoichiometry in meV per atom: 0

[6]
Crystalline P2OsSe at its relaxed geometry. Source: Alexandria, functional PBE.

Cell: 7.177 2.897 7.636 Å, 90.00 108.65 90.00°
Space group C2/m (No. 12)
Symmetry-distinct sites (fractional):
P1 0.153 0.000 0.337 x4
Os1 0.000 0.500 0.500 x2
Se1 0.000 0.000 0.000 x2

## Properties
Uncorrected formation energy in eV per atom: 0.015
Electronic total energy in eV per cell: -50.95